Below is a relaxed La3Dy2Tm3 crystal, with properties calculated at the PBE level.

For the energy above the most stable polymorph in this dataset, the calculation gives 0 meV/atom. Its total energy is -4.65 eV per atom. The total magnetization comes out at 0.0 Bohr magnetons per cell. The value obtained for the calculated formation energy is 28 meV/atom. As for the density of states at the Fermi level: 11.8 states/eV/f.u.

The space group is P-1 (No. 2) and the conventional cell measures 6.189, 6.265 and 8.043 Å, with angles of 104.98, 104.66 and 109.63 degrees. The distinct sites, in fractional coordinates, are La at (0.000, 0.000, 0.000), La at (0.124, 0.625, 0.250), Dy at (0.252, 0.251, 0.503), Tm at (0.376, 0.876, 0.751) and Tm at (0.500, 0.500, 0.000).



Below is a relaxed Pa2AsC crystal, with properties calculated at the PBE level.

For the energy above the most stable polymorph in this dataset, the calculation gives 512 meV/atom. Its total energy is -8.44 eV per atom. The total magnetization comes out at 0.0 Bohr magnetons per cell. The value obtained for the calculated formation energy is -224 meV/atom. As for the density of states at the Fermi level: 5.2 states/eV/f.u.

The space group is P4/mmm (No. 123) and the conventional cell measures 3.242, 3.242 and 6.765 Å, with angles of 90.00, 90.00 and 90.00 degrees. The distinct sites, in fractional coordinates, are Pa at (0.000, 0.000, 0.219), As at (0.500, 0.500, 0.500) and C at (0.500, 0.500, 0.000).



Below is a relaxed MgTc2Ni2 crystal, with properties calculated at the PBE level.

For the energy above the most stable polymorph in this dataset, the calculation gives 19 meV/atom. Its total energy is -6.58 eV per atom. The total magnetization comes out at 0.0 Bohr magnetons per cell. The value obtained for the calculated formation energy is 200 meV/atom. As for the density of states at the Fermi level: 5.0 states/eV/f.u.

The space group is P4/mbm (No. 127) and the conventional cell measures 7.430, 7.430 and 2.618 Å, with angles of 90.00, 90.00 and 90.00 degrees. The distinct sites, in fractional coordinates, are Mg at (0.000, 0.000, 0.000), Tc at (0.118, 0.382, 0.000) and Ni at (0.176, 0.676, 0.500).